# NaNbHg PBE relaxed
# Distance to the lowest polymorph of the same formula (meV per atom): 235.0
# Calculated total energy (eV per atom): -3.561
# ΔE_f (eV/atom): 0.336
data_NaNbHg
_symmetry_space_group_name_H-M 'P 1'
_symmetry_Int_Tables_number 1
_cell_length_a 3.235
_cell_length_b 6.564
_cell_length_c 6.627
_cell_angle_alpha 99.06
_cell_angle_beta 104.03
_cell_angle_gamma 90.15
loop_
_symmetry_equiv_pos_as_xyz
'x,y,z'
loop_
_atom_site_label
_atom_site_type_symbol
_atom_site_fract_x
_atom_site_fract_y
_atom_site_fract_z
_atom_site_occupancy
Na1 Na 0.000 0.000 0.000 1
Na2 Na 0.335 0.691 0.672 1
Nb1 Nb 0.047 0.486 0.103 1
Nb2 Nb 0.677 0.329 0.351 1
Hg1 Hg 0.364 0.252 0.728 1
Hg2 Hg 0.664 0.848 0.329 1

# CrIr8 PBE relaxed
# Calculated total energy (eV per atom): -9.044
# ΔE_f (eV/atom): -0.098
data_CrIr8
_symmetry_space_group_name_H-M 'I 4/m m m'
_symmetry_Int_Tables_number 139
_symmetry_space_group_name_Hall '-I 4 2'
_cell_length_a 8.164
_cell_length_b 8.164
_cell_length_c 3.843
_cell_angle_alpha 90.00
_cell_angle_beta 90.00
_cell_angle_gamma 90.00
loop_
_atom_site_label
_atom_site_type_symbol
_atom_site_fract_x
_atom_site_fract_y
_atom_site_fract_z
_atom_site_occupancy
Cr1 Cr 0.000 0.000 0.000 1
Ir1 Ir 0.000 0.330 0.000 1
Ir2 Ir 0.162 0.162 0.500 1

# SrSmCdGa PBE relaxed
# Calculated total energy (eV per atom): -2.937
# ΔE_f (eV/atom): -0.352
data_SrSmCdGa
_symmetry_space_group_name_H-M 'F -4 3 m'
_symmetry_Int_Tables_number 216
_symmetry_space_group_name_Hall 'F -4 2 3'
_cell_length_a 7.694
_cell_length_b 7.694
_cell_length_c 7.694
_cell_angle_alpha 90.00
_cell_angle_beta 90.00
_cell_angle_gamma 90.00
loop_
_atom_site_label
_atom_site_type_symbol
_atom_site_fract_x
_atom_site_fract_y
_atom_site_fract_z
_atom_site_occupancy
Sr1 Sr 0.000 0.000 0.000 1
Sm1 Sm 0.000 0.000 0.500 1
Cd1 Cd 0.250 0.250 0.750 1
Ga1 Ga 0.250 0.250 0.250 1

# ZrTiTlW2 PBE relaxed
# Calculated total energy (eV per atom): -7.520
# ΔE_f (eV/atom): 1.423
data_ZrTiTlW2
_symmetry_space_group_name_H-M 'P 4/m m m'
_symmetry_Int_Tables_number 123
_symmetry_space_group_name_Hall '-P 4 2'
_cell_length_a 4.626
_cell_length_b 4.626
_cell_length_c 5.018
_cell_angle_alpha 90.00
_cell_angle_beta 90.00
_cell_angle_gamma 90.00
loop_
_atom_site_label
_atom_site_type_symbol
_atom_site_fract_x
_atom_site_fract_y
_atom_site_fract_z
_atom_site_occupancy
Zr1 Zr 0.000 0.000 0.000 1
Ti1 Ti 0.000 0.000 0.500 1
Tl1 Tl 0.500 0.500 0.000 1
W1 W 0.000 0.500 0.500 1